(1)
This record from Alexandria describes a relaxed structure of SmBiIr. The functional is GGA-PBE.

- N(E_F): 1.9 states/eV/f.u.
- DFT formation energy: -0.45 eV per atom

The structure in CIF format:
```
data_SmBiIr
_chemical_formula_sum 'Sm1 Bi1 Ir1'
_cell_length_a 4.781
_cell_length_b 4.781
_cell_length_c 3.583
_cell_angle_alpha 90.00
_cell_angle_beta 90.00
_cell_angle_gamma 120.00
_symmetry_space_group_name_H-M 'P 1'
_symmetry_Int_Tables_number 1
loop_
_symmetry_equiv_pos_as_xyz
'x,y,z'
loop_
_atom_site_label
_atom_site_fract_x
_atom_site_fract_y
_atom_site_fract_z
Sm1 0.000 0.000 0.000
Bi1 0.667 0.333 0.500
Ir1 0.333 0.667 0.500
```

---

(2)
This record from Alexandria describes a relaxed structure of Ac2Sm3Ho4. The functional is GGA-PBE.

- N(E_F): 15.4 states/eV/f.u.
- DFT formation energy: 0.09 eV per atom

The structure in CIF format:
```
data_Ac2Sm3Ho4
_chemical_formula_sum 'Ac2 Sm3 Ho4'
_cell_length_a 3.692
_cell_length_b 3.692
_cell_length_c 26.979
_cell_angle_alpha 90.00
_cell_angle_beta 90.00
_cell_angle_gamma 120.00
_symmetry_space_group_name_H-M 'P 1'
_symmetry_Int_Tables_number 1
loop_
_symmetry_equiv_pos_as_xyz
'x,y,z'
loop_
_atom_site_label
_atom_site_fract_x
_atom_site_fract_y
_atom_site_fract_z
Ac1 0.000 0.000 0.000
Ac2 0.000 0.000 0.233
Sm1 0.000 0.000 0.782
Sm2 0.333 0.667 0.119
Sm3 0.333 0.667 0.468
Ho1 0.000 0.000 0.365
Ho2 0.000 0.000 0.574
Ho3 0.333 0.667 0.676
Ho4 0.333 0.667 0.887
```

---

(3)
This record from Alexandria describes a relaxed structure of TbYNp2S4. The functional is GGA-PBE.

- N(E_F): 19.2 states/eV/f.u.
- Formation energy without anion corrections: -1.679 eV per atom

The structure in CIF format:
```
data_TbYNp2S4
_chemical_formula_sum 'Tb1 Y1 Np2 S4'
_cell_length_a 6.749
_cell_length_b 3.923
_cell_length_c 6.816
_cell_angle_alpha 90.00
_cell_angle_beta 109.66
_cell_angle_gamma 90.00
_symmetry_space_group_name_H-M 'P 1'
_symmetry_Int_Tables_number 1
loop_
_symmetry_equiv_pos_as_xyz
'x,y,z'
loop_
_atom_site_label
_atom_site_fract_x
_atom_site_fract_y
_atom_site_fract_z
Tb1 0.000 0.000 0.000
Y1 0.000 0.500 0.500
Np1 0.500 0.000 0.500
Np2 0.500 0.500 0.000
S1 0.250 0.000 0.751
S2 0.250 0.500 0.252
S3 0.750 0.000 0.249
S4 0.750 0.500 0.748
```

---

(4)
This record from Alexandria describes a relaxed structure of Na2InPt3. The functional is GGA-PBE.

- N(E_F): 3.1 states/eV/f.u.
- DFT formation energy: -0.42 eV per atom

The structure in CIF format:
```
data_Na2InPt3
_chemical_formula_sum 'Na2 In1 Pt3'
_cell_length_a 5.465
_cell_length_b 5.465
_cell_length_c 5.465
_cell_angle_alpha 60.63
_cell_angle_beta 60.63
_cell_angle_gamma 60.63
_symmetry_space_group_name_H-M 'P 1'
_symmetry_Int_Tables_number 1
loop_
_symmetry_equiv_pos_as_xyz
'x,y,z'
loop_
_atom_site_label
_atom_site_fract_x
_atom_site_fract_y
_atom_site_fract_z
Na1 0.118 0.118 0.118
Na2 0.882 0.882 0.882
In1 0.500 0.500 0.500
Pt1 0.000 0.500 0.500
Pt2 0.500 0.000 0.500
Pt3 0.500 0.500 0.000
```